one | ZnFe2As: relaxed, PBE.

Values from the calculation:
As for the space group: P4/mmm, No. 123.

Structure (POSCAR):
```
ZnFe2As
1.0
3.7892 0.0000 0.0000
0.0000 3.7892 0.0000
0.0000 0.0000 3.7296
Zn Fe As
1 2 1
direct
0.0000 0.0000 0.0000 Zn
0.0000 0.5000 0.5000 Fe
0.5000 0.0000 0.5000 Fe
0.5000 0.5000 0.0000 As
```


two | ZnFe2As: relaxed, PBE.

Values from the calculation:
As for the space group: R3m, No. 160.

Structure (POSCAR):
```
ZnFe2As
1.0
2.8599 0.0000 0.0000
-1.4300 2.4768 0.0000
0.0000 0.0000 24.5231
Zn Fe As
3 6 3
direct
0.0000 0.0000 0.0000 Zn
0.3333 0.6667 0.6667 Zn
0.6667 0.3333 0.3333 Zn
0.0000 0.0000 0.2508 Fe
0.0000 0.0000 0.5116 Fe
0.3333 0.6667 0.1782 Fe
0.3333 0.6667 0.9174 Fe
0.6667 0.3333 0.5841 Fe
0.6667 0.3333 0.8449 Fe
0.0000 0.0000 0.7714 As
0.3333 0.6667 0.4381 As
0.6667 0.3333 0.1047 As
```


Least stable = two


one | ZrFe3As: relaxed, PBE.

Values from the calculation:
As for the space group: Pm-3m, No. 221.

Structure (POSCAR):
```
ZrFe3As
1.0
4.3660 0.0000 0.0000
0.0000 4.3660 0.0000
0.0000 0.0000 4.3660
Zr Fe As
1 3 1
direct
0.0000 0.0000 0.0000 Zr
0.0000 0.5000 0.5000 Fe
0.5000 0.0000 0.5000 Fe
0.5000 0.5000 0.0000 Fe
0.5000 0.5000 0.5000 As
```


two | ZrFe3As: relaxed, PBE.

Values from the calculation:
As for the space group: Pm-3m, No. 221.

Structure (POSCAR):
```
ZrFe3As
1.0
4.6206 0.0000 0.0000
0.0000 4.6206 0.0000
0.0000 0.0000 4.6206
Zr Fe As
1 3 1
direct
0.0000 0.0000 0.0000 Zr
0.0000 0.0000 0.5000 Fe
0.0000 0.5000 0.0000 Fe
0.5000 0.0000 0.0000 Fe
0.5000 0.5000 0.5000 As
```


Least stable = two


one | GaAs3: relaxed, PBE.

Values from the calculation:
As for the space group: Pmm2, No. 25.

Structure (POSCAR):
```
GaAs3
1.0
3.8129 0.0000 0.0000
0.0000 5.3888 0.0000
0.0000 0.0000 4.0358
Ga As
1 3
direct
0.0000 0.0000 0.0000 Ga
0.0000 0.5000 0.0870 As
0.5000 0.0000 0.5447 As
0.5000 0.5000 0.4922 As
```


two | GaAs3: relaxed, PBE.

Values from the calculation:
As for the space group: Fm-3m, No. 225.

Structure (POSCAR):
```
GaAs3
1.0
6.7182 0.0000 0.0000
0.0000 6.7182 0.0000
0.0000 0.0000 6.7182
Ga As
4 12
direct
0.0000 0.0000 0.0000 Ga
0.0000 0.5000 0.5000 Ga
0.5000 0.0000 0.5000 Ga
0.5000 0.5000 0.0000 Ga
0.0000 0.0000 0.5000 As
0.0000 0.5000 0.0000 As
0.2500 0.2500 0.2500 As
0.2500 0.2500 0.7500 As
0.2500 0.7500 0.2500 As
0.2500 0.7500 0.7500 As
0.5000 0.0000 0.0000 As
0.5000 0.5000 0.5000 As
0.7500 0.2500 0.2500 As
0.7500 0.2500 0.7500 As
0.7500 0.7500 0.2500 As
0.7500 0.7500 0.7500 As
```


Least stable = two